DFT (PBE) results for crystalline Ce3Ni2Pt3 at its relaxed geometry.

Summary:
Spin magnetization in μB/cell: 0.6
Calculated formation energy in meV per atom: -727

Unit cell a=3.8407 b=5.8987 c=15.0781 alpha=90.00 beta=90.00 gamma=109.00
Last column: nearest neighbours and their distance in Å.
Element x y z (fractional)
Ni 0.0897 0.1793 0.3287  1 Ni 2.37, 3 Pt 2.57-2.61, 2 Ce 2.65
Ni 0.9103 0.8207 0.8287  1 Ni 2.37, 3 Pt 2.57-2.61, 2 Ce 2.65
Ni 0.9103 0.8207 0.6713  1 Ni 2.37, 3 Pt 2.57-2.61, 2 Ce 2.65
Ni 0.0897 0.1793 0.1713  1 Ni 2.37, 3 Pt 2.57-2.61, 2 Ce 2.65
Pt 0.8878 0.7755 0.0892  1 Ni 2.57
Pt 0.1122 0.2245 0.5893  1 Ni 2.57
Pt 0.7070 0.4140 0.2500  4 Ni 2.61, 2 Ce 2.89
Pt 0.1122 0.2245 0.9108  1 Ni 2.57
Pt 0.2930 0.5860 0.7500  4 Ni 2.61, 2 Ce 2.89
Pt 0.8878 0.7755 0.4108  1 Ni 2.57
Ce 0.6275 0.2550 0.0538  2 Ni 2.65, 3 Pt 2.89-2.95
Ce 0.6275 0.2550 0.4462  2 Ni 2.65, 3 Pt 2.89-2.95
Ce 0.5992 0.1984 0.7500  6 Pt 2.89-3.10, 4 Ni 3.09
Ce 0.4008 0.8016 0.2500  6 Pt 2.89-3.10, 4 Ni 3.09
Ce 0.3725 0.7450 0.9462  2 Ni 2.65, 3 Pt 2.89-2.95
Ce 0.3725 0.7450 0.5538  2 Ni 2.65, 3 Pt 2.89-2.95